No. 1
Computed, not measured: a geometry-optimized Sm5Dy3Tl structure at the PBE level of DFT.

Properties
The crystal system is monoclinic.

Cell lengths 7.947, 7.947, 11.376 Å; angles 95.24, 95.24, 60.55 degrees
Element x y z (fractional)
1 Sm 0.007 0.007 0.369
2 Sm 0.162 0.586 0.244
3 Sm 0.168 0.832 0.000
4 Sm 0.262 0.262 0.963
5 Sm 0.414 0.838 0.756
6 Sm 0.586 0.162 0.244
7 Sm 0.738 0.738 0.037
8 Sm 0.832 0.168 0.000
9 Sm 0.838 0.414 0.756
10 Sm 0.993 0.993 0.631
11 Dy 0.168 0.168 0.216
12 Dy 0.240 0.240 0.526
13 Dy 0.500 0.500 0.000
14 Dy 0.500 0.500 0.500
15 Dy 0.760 0.760 0.474
16 Dy 0.832 0.832 0.784
17 Tl 0.403 0.403 0.741
18 Tl 0.597 0.597 0.259



No. 2
Computed, not measured: a geometry-optimized SmDyTl2 structure at the PBE level of DFT.

Properties
The crystal system is tetragonal. For the excess energy over the best structure of this formula in the dataset, the calculation gives 0.00 eV/f.u.

Cell lengths 3.827, 3.827, 7.645 Å; angles 90.00, 90.00, 90.00 degrees
Element x y z (fractional)
1 Sm 0.000 0.000 0.000
2 Dy 0.000 0.000 0.500
3 Tl 0.500 0.500 0.257
4 Tl 0.500 0.500 0.743



No. 3
Computed, not measured: a geometry-optimized Sm4Dy4Tl structure at the PBE level of DFT.

Properties
The crystal system is tetragonal.

Cell lengths 7.972, 7.972, 7.972 Å; angles 95.49, 95.49, 143.98 degrees
Element x y z (fractional)
1 Sm 0.162 0.162 0.324
2 Sm 0.162 0.838 0.000
3 Sm 0.838 0.162 0.000
4 Sm 0.838 0.838 0.676
5 Dy 0.164 0.500 0.664
6 Dy 0.500 0.164 0.664
7 Dy 0.500 0.836 0.336
8 Dy 0.836 0.500 0.336
9 Tl 0.500 0.500 0.000



No. 4
Computed, not measured: a geometry-optimized SmDy7Tl4 structure at the PBE level of DFT.

Properties
The crystal system is monoclinic.

Cell lengths 7.904, 7.904, 10.224 Å; angles 120.42, 120.42, 42.56 degrees
Element x y z (fractional)
1 Sm 0.000 0.000 0.000
2 Dy 0.064 0.064 0.399
3 Dy 0.208 0.208 0.879
4 Dy 0.271 0.271 0.330
5 Dy 0.500 0.500 0.000
6 Dy 0.729 0.729 0.670
7 Dy 0.792 0.792 0.121
8 Dy 0.936 0.936 0.601
9 Tl 0.314 0.314 0.666
10 Tl 0.442 0.442 0.256
11 Tl 0.558 0.558 0.744
12 Tl 0.686 0.686 0.334



| no. | calculated formation energy (eV per atom) |
| --- | --- |
| 1 | 0.401 |
| 2 | -0.365 |
| 3 | -0.038 |
| 4 | -0.019 |